(1)
{
  "formula": "CsMgO3",
  "functional": "PBE",
  "state": "optimized geometry",
  "magmom_total_mub_per_atom": 0.600,
  "raw_formation_energy_ev_per_atom": -0.919,
  "space_group": "Pm-3m, No. 221",
  "final_energy_ev_per_atom": -4.383,
  "lattice_angstrom": [[4.290, 0.000, 0.000], [0.000, 4.290, 0.000], [0.000, 0.000, 4.290]],
  "species": ["O", "O", "O", "Mg", "Cs"],
  "fractional_positions": [[0.000, 0.500, 0.500], [0.500, 0.000, 0.500], [0.500, 0.500, 0.000], [0.500, 0.500, 0.500], [0.000, 0.000, 0.000]]
}


(2)
{
  "formula": "La2SeF3",
  "functional": "PBE",
  "state": "optimized geometry",
  "magmom_total_mub_per_atom": 0.101,
  "raw_formation_energy_ev_per_atom": -3.293,
  "space_group": "C2/m, No. 12",
  "final_energy_ev_per_atom": -6.452,
  "lattice_angstrom": [[-2.350, 2.966, -1.561], [-4.829, -6.433, 0.412], [0.710, 4.147, 6.813]],
  "species": ["F", "F", "F", "F", "F", "F", "Se", "Se", "La", "La", "La", "La"],
  "fractional_positions": [[0.309, 0.618, 0.544], [0.938, 0.876, 0.586], [0.612, 0.223, 0.685], [0.691, 0.382, 0.456], [0.062, 0.124, 0.414], [0.388, 0.777, 0.315], [0.866, 0.732, 0.952], [0.134, 0.268, 0.048], [0.521, 0.041, 0.230], [0.479, 0.959, 0.770], [0.791, 0.583, 0.291], [0.209, 0.417, 0.709]]
}


(3)
{
  "formula": "FeSb2Cl",
  "functional": "PBE",
  "state": "optimized geometry",
  "magmom_total_mub_per_atom": 0.180,
  "raw_formation_energy_ev_per_atom": 0.186,
  "space_group": "I-42d, No. 122",
  "final_energy_ev_per_atom": -4.452,
  "lattice_angstrom": [[-4.134, 2.060, -4.098], [2.847, -3.174, -4.467], [-4.227, -5.418, -3.112]],
  "species": ["Fe", "Fe", "Sb", "Sb", "Sb", "Sb", "Cl", "Cl"],
  "fractional_positions": [[0.750, 0.250, 0.500], [0.000, 0.000, 0.000], [0.725, 0.125, 0.250], [0.875, 0.975, 0.750], [0.375, 0.275, 0.750], [0.025, 0.625, 0.250], [0.250, 0.750, 0.500], [0.500, 0.500, 0.000]]
}


(4)
{
  "formula": "Te3Se5",
  "functional": "PBE",
  "state": "optimized geometry",
  "magmom_total_mub_per_atom": 0.000,
  "raw_formation_energy_ev_per_atom": 0.161,
  "space_group": "Cmmm, No. 65",
  "final_energy_ev_per_atom": -3.195,
  "lattice_angstrom": [[-7.821, -2.063, 4.574], [6.972, -5.354, -3.010], [1.852, 0.504, 3.394]],
  "species": ["Se", "Se", "Se", "Se", "Se", "Te", "Te", "Te"],
  "fractional_positions": [[0.000, 0.000, 0.000], [0.243, 0.243, 0.500], [0.757, 0.757, 0.500], [0.500, 0.000, 0.000], [0.000, 0.500, 0.000], [0.500, 0.500, 0.000], [0.201, 0.799, 0.500], [0.799, 0.201, 0.500]]
}


(5)
{
  "formula": "Pm2BeZn3Cu12",
  "functional": "PBE",
  "state": "optimized geometry",
  "magmom_total_mub_per_atom": 0.000,
  "space_group": "R-3m, No. 166",
  "final_energy_ev_per_atom": -3.564,
  "delta_e_f_ev_per_atom": 0.11,
  "lattice_angstrom": [[-1.981, -6.100, 6.564], [4.061, -6.619, 4.890], [2.239, -1.944, 8.685]],
  "species": ["Pm", "Pm", "Cu", "Cu", "Cu", "Cu", "Cu", "Cu", "Cu", "Cu", "Cu", "Cu", "Cu", "Cu", "Zn", "Zn", "Zn", "Be"],
  "fractional_positions": [[0.655, 0.655, 0.655], [0.345, 0.345, 0.345], [0.338, 0.932, 0.932], [0.068, 0.662, 0.068], [0.809, 0.422, 0.422], [0.422, 0.809, 0.422], [0.191, 0.578, 0.578], [0.578, 0.578, 0.191], [0.662, 0.068, 0.068], [0.422, 0.422, 0.809], [0.578, 0.191, 0.578], [0.932, 0.932, 0.338], [0.932, 0.338, 0.932], [0.068, 0.068, 0.662], [0.000, 0.500, 0.000], [0.500, 0.000, 0.000], [0.000, 0.000, 0.500], [0.000, 0.000, 0.000]]
}


(6)
{
  "formula": "Ag2HgPt",
  "functional": "PBE",
  "state": "optimized geometry",
  "magmom_total_mub_per_atom": 0.000,
  "space_group": "I-42d, No. 122",
  "final_energy_ev_per_atom": -2.833,
  "delta_e_f_ev_per_atom": 0.18,
  "lattice_angstrom": [[3.946, 0.000, 0.000], [0.000, 3.946, 0.000], [1.973, 1.973, 10.070]],
  "species": ["Ag", "Ag", "Ag", "Ag", "Hg", "Hg", "Pt", "Pt"],
  "fractional_positions": [[0.375, 0.382, 0.750], [0.618, 0.125, 0.250], [0.132, 0.625, 0.250], [0.875, 0.868, 0.750], [0.750, 0.250, 0.500], [0.000, 0.000, 0.000], [0.250, 0.750, 0.500], [0.500, 0.500, 0.000]]
}


(7)
{
  "formula": "Li2LaIn",
  "functional": "PBE",
  "state": "optimized geometry",
  "magmom_total_mub_per_atom": 0.006,
  "space_group": "P4mm, No. 99",
  "final_energy_ev_per_atom": -3.041,
  "delta_e_f_ev_per_atom": -0.17,
  "lattice_angstrom": [[3.532, 0.013, 0.000], [-0.015, 3.532, 0.000], [0.000, 0.000, 8.011]],
  "species": ["Li", "Li", "La", "In"],
  "fractional_positions": [[0.000, 0.000, 0.060], [0.500, 0.500, 0.255], [0.500, 0.500, 0.735], [0.000, 0.000, 0.449]]
}


(8)
{
  "formula": "Mg2Zn5Co2Cu",
  "functional": "PBE",
  "state": "optimized geometry",
  "magmom_total_mub_per_atom": 0.000,
  "space_group": "P4/mbm, No. 127",
  "final_energy_ev_per_atom": -2.825,
  "delta_e_f_ev_per_atom": -0.04,
  "lattice_angstrom": [[3.706, 0.000, 0.000], [0.000, 8.934, 0.000], [0.000, 0.000, 8.934]],
  "species": ["Zn", "Zn", "Zn", "Zn", "Zn", "Zn", "Zn", "Zn", "Zn", "Zn", "Co", "Co", "Co", "Co", "Mg", "Mg", "Mg", "Mg", "Cu", "Cu"],
  "fractional_positions": [[0.500, 0.701, 0.429], [0.500, 0.299, 0.571], [0.500, 0.429, 0.299], [0.500, 0.571, 0.701], [0.500, 0.500, 0.000], [0.500, 0.000, 0.500], [0.500, 0.799, 0.929], [0.500, 0.201, 0.071], [0.500, 0.929, 0.201], [0.500, 0.071, 0.799], [0.000, 0.122, 0.622], [0.000, 0.878, 0.378], [0.000, 0.622, 0.878], [0.000, 0.378, 0.122], [0.000, 0.828, 0.672], [0.000, 0.328, 0.828], [0.000, 0.172, 0.328], [0.000, 0.672, 0.172], [0.000, 0.500, 0.500], [0.000, 0.000, 0.000]]
}